Entry from the Alexandria database: a relaxed structure of TiFeAsO6 (PBE with a Hubbard U).

Cell lengths 4.9496, 4.9496, 8.8149 Å; angles 90.00, 90.00, 120.00 degrees
Last column: nearest neighbours and their distance in Å.
Atoms (fractional coordinates):
O 0.0162 0.3569 0.6329  1 As 1.86, 1 Ti 1.97, 1 Fe 2.09
O 0.0162 0.6593 0.8671  1 As 1.86, 1 Ti 1.97, 1 Fe 2.09
O 0.3407 0.3569 0.8671  1 As 1.86, 1 Ti 1.97, 1 Fe 2.09
O 0.3407 0.9838 0.6329  1 As 1.86, 1 Ti 1.97, 1 Fe 2.09
O 0.6593 0.6431 0.1329  1 As 1.86, 1 Ti 1.97, 1 Fe 2.09
O 0.9838 0.6431 0.3671  1 As 1.86, 1 Ti 1.97, 1 Fe 2.09
O 0.3569 0.3407 0.3671  1 As 1.86, 1 Ti 1.97, 1 Fe 2.09
O 0.6593 0.0162 0.3671  1 As 1.86, 1 Ti 1.97, 1 Fe 2.09
O 0.6431 0.6593 0.6329  1 As 1.86, 1 Ti 1.97, 1 Fe 2.09
O 0.3569 0.0162 0.1329  1 As 1.86, 1 Ti 1.97, 1 Fe 2.09
O 0.9838 0.3407 0.1329  1 As 1.86, 1 Ti 1.97, 1 Fe 2.09
O 0.6431 0.9838 0.8671  1 As 1.86, 1 Ti 1.97, 1 Fe 2.09
Ti 0.6667 0.3333 0.7500  6 O 1.97
Ti 0.3333 0.6667 0.2500  6 O 1.97
As 0.3333 0.6667 0.7500  6 O 1.86
As 0.6667 0.3333 0.2500  6 O 1.86
Fe 0.0000 0.0000 0.5000  6 O 2.09
Fe 0.0000 0.0000 0.0000  6 O 2.09

Values from the calculation:
Its calculated total energy is -7.1388 eV/atom.



Entry from the Alexandria database: a relaxed structure of TlFeAs2O6 (PBE with a Hubbard U).

Cell lengths 7.1916, 7.0051, 7.0051 Å; angles 88.44, 73.19, 73.19 degrees
Last column: nearest neighbours and their distance in Å.
Atoms (fractional coordinates):
As 0.1293 0.3465 0.2381  3 O 1.75-1.82
As 0.6293 0.2381 0.3465  3 O 1.75-1.82
As 0.8707 0.6535 0.7619  3 O 1.75-1.82
As 0.3707 0.7619 0.6535  3 O 1.75-1.82
O 0.0433 0.6096 0.2628  1 As 1.76
O 0.3212 0.2754 0.3687  1 As 1.82
O 0.7278 0.7127 0.0121  1 As 1.75
O 0.8212 0.3687 0.2754  1 As 1.82
O 0.2278 0.0121 0.7127  1 As 1.75
O 0.2722 0.2873 0.9879  1 As 1.75
O 0.7722 0.9879 0.2873  1 As 1.75
O 0.9567 0.3904 0.7372  1 As 1.76
O 0.1788 0.6313 0.7246  1 As 1.82
O 0.5433 0.2628 0.6096  1 As 1.76
O 0.6788 0.7246 0.6313  1 As 1.82
O 0.4567 0.7372 0.3904  1 As 1.76
Fe 0.7500 0.7118 0.2882  4 O 1.98-1.99
Fe 0.2500 0.2882 0.7118  4 O 1.98-1.99
Tl 0.2500 0.8547 0.1453  2 O 2.55
Tl 0.7500 0.1453 0.8547  2 O 2.55

Values from the calculation:
Its calculated total energy is -5.8001 eV/atom.